Compound: Ac3Ge3Os
Source: Alexandria
Functional: PBE
Structure: optimized geometry

## Properties
The formation energy from the elements is -0.348 eV per atom. The energy relative to the lowest polymorph listed for this composition is 0.185 eV per atom. The calculation puts the final energy at -5.692 eV per atom.

```
data_Ac3Ge3Os
_space_group_name_H-M_alt 'P 1 21/m 1'
_space_group_IT_number 11
_space_group_name_Hall '-P 2yb'
_cell_length_a 6.962
_cell_length_b 6.216
_cell_length_c 9.372
_cell_angle_alpha 90.00
_cell_angle_beta 98.57
_cell_angle_gamma 90.00
loop_
_atom_site_label
_atom_site_fract_x
_atom_site_fract_y
_atom_site_fract_z
Ac1 0.122 0.250 0.306
Ac2 0.264 0.250 0.936
Ac3 0.362 0.750 0.629
Ge1 0.001 0.250 0.628
Ge2 0.218 0.750 0.982
Ge3 0.396 0.250 0.623
Os1 0.281 0.750 0.242
```

=====

Compound: Ac2GeOs
Source: Alexandria
Functional: PBE
Structure: optimized geometry

## Properties
The formation energy from the elements is -0.195 eV per atom. The calculation puts the final energy at -6.211 eV per atom.

```
data_Ac2GeOs
_space_group_name_H-M_alt 'I m m m'
_space_group_IT_number 71
_space_group_name_Hall '-I 2 2'
_cell_length_a 4.715
_cell_length_b 4.823
_cell_length_c 10.720
_cell_angle_alpha 90.00
_cell_angle_beta 90.00
_cell_angle_gamma 90.00
loop_
_atom_site_label
_atom_site_fract_x
_atom_site_fract_y
_atom_site_fract_z
Ac1 0.000 0.000 0.172
Ge1 0.000 0.000 0.500
Os1 0.000 0.500 0.500
```

=====

Compound: Ac2Ge5Os3
Source: Alexandria
Functional: PBE
Structure: optimized geometry

## Properties
The formation energy from the elements is -0.381 eV per atom. The calculation puts the final energy at -6.880 eV per atom.

```
data_Ac2Ge5Os3
_space_group_name_H-M_alt 'I b a m'
_space_group_IT_number 72
_space_group_name_Hall '-I 2 2c'
_cell_length_a 10.264
_cell_length_b 12.670
_cell_length_c 6.137
_cell_angle_alpha 90.00
_cell_angle_beta 90.00
_cell_angle_gamma 90.00
loop_
_atom_site_label
_atom_site_fract_x
_atom_site_fract_y
_atom_site_fract_z
Ac1 0.231 0.135 0.000
Ge1 0.000 0.000 0.250
Ge2 0.000 0.283 0.250
Ge3 0.162 0.406 0.000
Os1 0.000 0.500 0.250
Os2 0.101 0.145 0.500
```

=====

Compound: Ac8Ge2Os
Source: Alexandria
Functional: PBE
Structure: optimized geometry

## Properties
The formation energy from the elements is -0.261 eV per atom. The calculation puts the final energy at -5.109 eV per atom.

```
data_Ac8Ge2Os
_space_group_name_H-M_alt 'C 1 2/m 1'
_space_group_IT_number 12
_space_group_name_Hall '-C 2y'
_cell_length_a 23.157
_cell_length_b 4.471
_cell_length_c 8.280
_cell_angle_alpha 90.00
_cell_angle_beta 94.56
_cell_angle_gamma 90.00
loop_
_atom_site_label
_atom_site_fract_x
_atom_site_fract_y
_atom_site_fract_z
Ac1 0.007 0.000 0.230
Ac2 0.102 0.500 0.537
Ac3 0.128 0.500 0.033
Ac4 0.234 0.000 0.700
Ge1 0.165 0.000 0.336
Os1 0.000 0.500 0.000
```

=====

Compound: Ac2Ge3Os
Source: Alexandria
Functional: PBE
Structure: optimized geometry

## Properties
The formation energy from the elements is -0.529 eV per atom. The energy relative to the lowest polymorph listed for this composition is 0.000 eV per atom. The calculation puts the final energy at -6.078 eV per atom.

```
data_Ac2Ge3Os
_space_group_name_H-M_alt 'F m m m'
_space_group_IT_number 69
_space_group_name_Hall '-F 2 2'
_cell_length_a 8.802
_cell_length_b 9.088
_cell_length_c 15.123
_cell_angle_alpha 90.00
_cell_angle_beta 90.00
_cell_angle_gamma 90.00
loop_
_atom_site_label
_atom_site_fract_x
_atom_site_fract_y
_atom_site_fract_z
Ac1 0.000 0.241 0.000
Ac2 0.250 0.250 0.250
Ge1 0.000 0.000 0.328
Ge2 0.245 0.000 0.086
Os1 0.000 0.000 0.166
```

=====

Compound: Ac3Ge4Os2
Source: Alexandria
Functional: PBE
Structure: optimized geometry

## Properties
The formation energy from the elements is -0.461 eV per atom. The energy relative to the lowest polymorph listed for this composition is 0.027 eV per atom. The calculation puts the final energy at -6.378 eV per atom.

```
data_Ac3Ge4Os2
_space_group_name_H-M_alt 'C 1 2/m 1'
_space_group_IT_number 12
_space_group_name_Hall '-C 2y'
_cell_length_a 12.042
_cell_length_b 4.265
_cell_length_c 8.920
_cell_angle_alpha 90.00
_cell_angle_beta 100.01
_cell_angle_gamma 90.00
loop_
_atom_site_label
_atom_site_fract_x
_atom_site_fract_y
_atom_site_fract_z
Ac1 0.000 0.000 0.000
Ac2 0.166 0.500 0.653
Ge1 0.055 0.000 0.375
Ge2 0.231 0.500 0.078
Os1 0.107 0.500 0.273
```

=====

Compound: Ac3Ge4Os2
Source: Alexandria
Functional: PBE
Structure: optimized geometry

## Properties
The formation energy from the elements is -0.488 eV per atom. The energy relative to the lowest polymorph listed for this composition is 0.000 eV per atom. The calculation puts the final energy at -6.405 eV per atom.

```
data_Ac3Ge4Os2
_space_group_name_H-M_alt 'C 1 2/m 1'
_space_group_IT_number 12
_space_group_name_Hall '-C 2y'
_cell_length_a 11.819
_cell_length_b 4.504
_cell_length_c 8.677
_cell_angle_alpha 90.00
_cell_angle_beta 108.12
_cell_angle_gamma 90.00
loop_
_atom_site_label
_atom_site_fract_x
_atom_site_fract_y
_atom_site_fract_z
Ac1 0.000 0.000 0.000
Ac2 0.114 0.500 0.698
Ge1 0.114 0.000 0.400
Ge2 0.209 0.500 0.086
Os1 0.196 0.500 0.365
```

=====

Compound: Ac2Ge2Os
Source: Alexandria
Functional: PBE
Structure: optimized geometry

## Properties
The formation energy from the elements is -0.494 eV per atom. The calculation puts the final energy at -6.231 eV per atom.

```
data_Ac2Ge2Os
_space_group_name_H-M_alt 'C 1 2/c 1'
_space_group_IT_number 15
_space_group_name_Hall '-C 2yc'
_cell_length_a 10.728
_cell_length_b 6.007
_cell_length_c 8.030
_cell_angle_alpha 90.00
_cell_angle_beta 101.07
_cell_angle_gamma 90.00
loop_
_atom_site_label
_atom_site_fract_x
_atom_site_fract_y
_atom_site_fract_z
Ac1 0.151 0.099 0.157
Ge1 0.108 0.390 0.493
Os1 0.000 0.367 0.750
```

=====

Compound: Ac12Ge6Os
Source: Alexandria
Functional: PBE
Structure: optimized geometry

## Properties
The formation energy from the elements is -0.402 eV per atom. The calculation puts the final energy at -5.046 eV per atom.

```
data_Ac12Ge6Os
_space_group_name_H-M_alt 'R -3'
_space_group_IT_number 148
_space_group_name_Hall '-R 3'
_cell_length_a 13.8964
_cell_length_b 13.8964
_cell_length_c 13.0141
_cell_angle_alpha 90.00
_cell_angle_beta 90.00
_cell_angle_gamma 120.00
loop_
_atom_site_label
_atom_site_fract_x
_atom_site_fract_y
_atom_site_fract_z
Ac1 0.0333 0.2078 0.3927
Ac2 0.0464 0.2003 0.8838
Ge1 0.0498 0.2724 0.6485
Os1 0.0000 0.0000 0.0000
```

=====

Compound: AcGeOs
Source: Alexandria
Functional: PBE
Structure: optimized geometry

## Properties
The formation energy from the elements is -0.044 eV per atom. The energy relative to the lowest polymorph listed for this composition is 0.234 eV per atom. The calculation puts the final energy at -6.696 eV per atom.

```
data_AcGeOs
_space_group_name_H-M_alt 'R -3 m'
_space_group_IT_number 166
_space_group_name_Hall '-R 3 2"'
_cell_length_a 4.3393
_cell_length_b 4.3393
_cell_length_c 31.8507
_cell_angle_alpha 90.00
_cell_angle_beta 90.00
_cell_angle_gamma 120.00
loop_
_atom_site_label
_atom_site_fract_x
_atom_site_fract_y
_atom_site_fract_z
Ac1 0.0000 0.0000 0.1016
Ge1 0.0000 0.0000 0.2973
Os1 0.0000 0.0000 0.3768
```

=====

Compound: Ac6Ge2Os
Source: Alexandria
Functional: PBE
Structure: optimized geometry

## Properties
The formation energy from the elements is -0.336 eV per atom. The calculation puts the final energy at -5.348 eV per atom.

```
data_Ac6Ge2Os
_space_group_name_H-M_alt 'P 1 21/c 1'
_space_group_IT_number 14
_space_group_name_Hall '-P 2ybc'
_cell_length_a 7.212
_cell_length_b 8.461
_cell_length_c 12.801
_cell_angle_alpha 90.00
_cell_angle_beta 122.40
_cell_angle_gamma 90.00
loop_
_atom_site_label
_atom_site_fract_x
_atom_site_fract_y
_atom_site_fract_z
Ac1 0.097 0.172 0.433
Ac2 0.283 0.689 0.437
Ac3 0.393 0.040 0.248
Ge1 0.190 0.115 0.749
Os1 0.500 0.000 0.500
```

=====

Compound: Ac3Ge3Os
Source: Alexandria
Functional: PBE
Structure: optimized geometry

## Properties
The formation energy from the elements is -0.534 eV per atom. The energy relative to the lowest polymorph listed for this composition is 0.000 eV per atom. The calculation puts the final energy at -5.878 eV per atom.

```
data_Ac3Ge3Os
_space_group_name_H-M_alt 'C 1 2/m 1'
_space_group_IT_number 12
_space_group_name_Hall '-C 2y'
_cell_length_a 11.925
_cell_length_b 4.485
_cell_length_c 15.108
_cell_angle_alpha 90.00
_cell_angle_beta 109.72
_cell_angle_gamma 90.00
loop_
_atom_site_label
_atom_site_fract_x
_atom_site_fract_y
_atom_site_fract_z
Ac1 0.028 0.000 0.387
Ac2 0.107 0.000 0.919
Ac3 0.245 0.000 0.235
Ge1 0.046 0.500 0.238
Ge2 0.101 0.500 0.073
Ge3 0.174 0.500 0.540
Os1 0.239 0.500 0.385
```

=====

Compound: Ac2Ge5Os
Source: Alexandria
Functional: PBE
Structure: optimized geometry

## Properties
The formation energy from the elements is -0.328 eV per atom. The calculation puts the final energy at -5.645 eV per atom.

```
data_Ac2Ge5Os
_space_group_name_H-M_alt 'I 4 m m'
_space_group_IT_number 107
_space_group_name_Hall 'I 4 -2'
_cell_length_a 6.275
_cell_length_b 6.275
_cell_length_c 9.669
_cell_angle_alpha 90.00
_cell_angle_beta 90.00
_cell_angle_gamma 90.00
loop_
_atom_site_label
_atom_site_fract_x
_atom_site_fract_y
_atom_site_fract_z
Ac1 0.000 0.500 0.000
Ge1 0.000 0.000 0.052
Ge2 0.217 0.217 0.255
Os1 0.000 0.000 0.798
```

=====

Compound: AcGe12Os4
Source: Alexandria
Functional: PBE
Structure: optimized geometry

## Properties
The formation energy from the elements is 0.078 eV per atom. The calculation puts the final energy at -6.065 eV per atom.

```
data_AcGe12Os4
_space_group_name_H-M_alt 'I m -3'
_space_group_IT_number 204
_space_group_name_Hall '-I 2 2 3'
_cell_length_a 8.797
_cell_length_b 8.797
_cell_length_c 8.797
_cell_angle_alpha 90.00
_cell_angle_beta 90.00
_cell_angle_gamma 90.00
loop_
_atom_site_label
_atom_site_fract_x
_atom_site_fract_y
_atom_site_fract_z
Ac1 0.000 0.000 0.000
Ge1 0.000 0.347 0.162
Os1 0.250 0.250 0.250
```

=====

Compound: Ac2GeOs
Source: Alexandria
Functional: PBE
Structure: optimized geometry

## Properties
The formation energy from the elements is -0.021 eV per atom. The calculation puts the final energy at -6.037 eV per atom.

```
data_Ac2GeOs
_space_group_name_H-M_alt 'P 4/m m m'
_space_group_IT_number 123
_space_group_name_Hall '-P 4 2'
_cell_length_a 5.176
_cell_length_b 5.176
_cell_length_c 4.039
_cell_angle_alpha 90.00
_cell_angle_beta 90.00
_cell_angle_gamma 90.00
loop_
_atom_site_label
_atom_site_fract_x
_atom_site_fract_y
_atom_site_fract_z
Ac1 0.000 0.500 0.000
Ge1 0.000 0.000 0.500
Os1 0.500 0.500 0.500
```

=====

Compound: Ac4Ge5Os2
Source: Alexandria
Functional: PBE
Structure: optimized geometry

## Properties
The formation energy from the elements is -0.450 eV per atom. The calculation puts the final energy at -6.084 eV per atom.

```
data_Ac4Ge5Os2
_space_group_name_H-M_alt 'P 1 2/m 1'
_space_group_IT_number 10
_space_group_name_Hall '-P 2y'
_cell_length_a 7.456
_cell_length_b 4.608
_cell_length_c 8.625
_cell_angle_alpha 90.00
_cell_angle_beta 93.25
_cell_angle_gamma 90.00
loop_
_atom_site_label
_atom_site_fract_x
_atom_site_fract_y
_atom_site_fract_z
Ac1 0.233 0.000 0.139
Ac2 0.246 0.000 0.625
Ge1 0.100 0.500 0.878
Ge2 0.406 0.500 0.369
Ge3 0.500 0.500 0.000
Os1 0.072 0.500 0.381
```

=====

Compound: AcPuGe2Os
Source: Alexandria
Functional: PBE
Structure: optimized geometry

## Properties
The formation energy from the elements is -0.277 eV per atom. The calculation puts the final energy at -8.058 eV per atom.

```
data_AcPuGe2Os
_space_group_name_H-M_alt 'I -4 m 2'
_space_group_IT_number 119
_space_group_name_Hall 'I -4 -2'
_cell_length_a 4.291
_cell_length_b 4.291
_cell_length_c 12.483
_cell_angle_alpha 90.00
_cell_angle_beta 90.00
_cell_angle_gamma 90.00
loop_
_atom_site_label
_atom_site_fract_x
_atom_site_fract_y
_atom_site_fract_z
Ac1 0.000 0.000 0.000
Pu1 0.000 0.500 0.250
Ge1 0.000 0.000 0.396
Os1 0.000 0.500 0.750
```

=====

Compound: AcScGe2Os
Source: Alexandria
Functional: PBE
Structure: optimized geometry

## Properties
The formation energy from the elements is -0.568 eV per atom. The calculation puts the final energy at -6.749 eV per atom.

```
data_AcScGe2Os
_space_group_name_H-M_alt 'I -4 m 2'
_space_group_IT_number 119
_space_group_name_Hall 'I -4 -2'
_cell_length_a 4.263
_cell_length_b 4.263
_cell_length_c 11.845
_cell_angle_alpha 90.00
_cell_angle_beta 90.00
_cell_angle_gamma 90.00
loop_
_atom_site_label
_atom_site_fract_x
_atom_site_fract_y
_atom_site_fract_z
Ac1 0.000 0.000 0.000
Sc1 0.000 0.500 0.750
Ge1 0.000 0.000 0.384
Os1 0.000 0.500 0.250
```

=====

Compound: Ac2TcGe6Os
Source: Alexandria
Functional: PBE
Structure: optimized geometry

## Properties
The formation energy from the elements is -0.186 eV per atom. The calculation puts the final energy at -5.938 eV per atom.

```
data_Ac2TcGe6Os
_space_group_name_H-M_alt 'R -3 m'
_space_group_IT_number 166
_space_group_name_Hall '-R 3 2"'
_cell_length_a 7.5128
_cell_length_b 7.5128
_cell_length_c 29.4708
_cell_angle_alpha 90.00
_cell_angle_beta 90.00
_cell_angle_gamma 120.00
loop_
_atom_site_label
_atom_site_fract_x
_atom_site_fract_y
_atom_site_fract_z
Ac1 0.0000 0.0000 0.1351
Ac2 0.0000 0.0000 0.2868
Tc1 0.0000 0.0000 0.0000
Tc2 0.0000 0.0000 0.5000
Ge1 0.0151 0.5076 0.1196
Ge2 0.0201 0.5100 0.7132
Os1 0.0000 0.0000 0.3962
```

=====

Compound: AcTcGe3Os
Source: Alexandria
Functional: PBE
Structure: optimized geometry

## Properties
The formation energy from the elements is -0.175 eV per atom. The calculation puts the final energy at -6.768 eV per atom.

```
data_AcTcGe3Os
_space_group_name_H-M_alt 'C m c m'
_space_group_IT_number 63
_space_group_name_Hall '-C 2c 2'
_cell_length_a 7.743
_cell_length_b 11.476
_cell_length_c 5.989
_cell_angle_alpha 90.00
_cell_angle_beta 90.00
_cell_angle_gamma 90.00
loop_
_atom_site_label
_atom_site_fract_x
_atom_site_fract_y
_atom_site_fract_z
Ac1 0.000 0.245 0.250
Tc1 0.000 0.450 0.750
Ge1 0.000 0.249 0.750
Ge2 0.249 0.500 0.000
Os1 0.000 0.046 0.750
```

=====

Compound: AcZnGe2Os
Source: Alexandria
Functional: PBE
Structure: optimized geometry

## Properties
The formation energy from the elements is -0.284 eV per atom. The calculation puts the final energy at -5.453 eV per atom.

```
data_AcZnGe2Os
_space_group_name_H-M_alt 'I -4 m 2'
_space_group_IT_number 119
_space_group_name_Hall 'I -4 -2'
_cell_length_a 4.255
_cell_length_b 4.255
_cell_length_c 11.323
_cell_angle_alpha 90.00
_cell_angle_beta 90.00
_cell_angle_gamma 90.00
loop_
_atom_site_label
_atom_site_fract_x
_atom_site_fract_y
_atom_site_fract_z
Ac1 0.000 0.000 0.000
Zn1 0.000 0.500 0.750
Ge1 0.000 0.000 0.371
Os1 0.000 0.500 0.250
```